# PBE-GGA Ho4CoSn8, optimized geometry
# M_tot: 0.00 Bohr magnetons per cell
# V: 24.79 Å³ per atom
# Mass density: 8.6 Mg/m³
# Energy of formation from the pure elements: -522 meV per atom
data_Ho4CoSn8
_cell_length_a 4.397
_cell_length_b 4.431
_cell_length_c 16.543
_cell_angle_alpha 90.00
_cell_angle_beta 90.00
_cell_angle_gamma 90.00
_space_group_name_H-M_alt 'P m m 2'
_space_group_IT_number 25
loop_
_space_group_symop_operation_xyz
'x,y,z'
'-x,-y,z'
'-x,y,z'
'x,-y,z'
loop_
_atom_site_label
_atom_site_fract_x
_atom_site_fract_y
_atom_site_fract_z
Ho1 0.000 0.000 0.000
Ho2 0.000 0.500 0.493
Ho3 0.500 0.000 0.791
Ho4 0.500 0.500 0.297
Co1 0.000 0.500 0.704
Sn1 0.000 0.000 0.330
Sn2 0.000 0.000 0.633
Sn3 0.000 0.500 0.148
Sn4 0.000 0.500 0.852
Sn5 0.500 0.000 0.150
Sn6 0.500 0.000 0.456
Sn7 0.500 0.500 0.633
Sn8 0.500 0.500 0.972

=====

# PBE-GGA Nd3Tl3Rh2, optimized geometry
# M_tot: 0.00 Bohr magnetons per cell
# V: 26.01 Å³ per atom
# Mass density: 10.0 Mg/m³
# Energy of formation from the pure elements: -465 meV per atom
data_Nd3Tl3Rh2
_cell_length_a 16.980
_cell_length_b 4.724
_cell_length_c 5.289
_cell_angle_alpha 90.00
_cell_angle_beta 101.15
_cell_angle_gamma 90.00
_space_group_name_H-M_alt 'C 1 2/m 1'
_space_group_IT_number 12
loop_
_space_group_symop_operation_xyz
'x,y,z'
'-x,-y,-z'
'-x,y,-z'
'x,-y,z'
'x+1/2,y+1/2,z'
'-x+1/2,-y+1/2,-z'
'-x+1/2,y+1/2,-z'
'x+1/2,-y+1/2,z'
loop_
_atom_site_label
_atom_site_fract_x
_atom_site_fract_y
_atom_site_fract_z
Nd1 0.000 0.000 0.000
Nd2 0.170 0.000 0.598
Tl1 0.000 0.500 0.500
Tl2 0.133 0.500 0.078
Rh1 0.220 0.000 0.129

=====

# PBE-GGA TlCu2Pd2, optimized geometry
# M_tot: 0.00 Bohr magnetons per cell
# V: 17.35 Å³ per atom
# Offset from the most stable computed form: 150 meV per atom
# Mass density: 10.4 Mg/m³
# Energy of formation from the pure elements: 145 meV per atom
data_TlCu2Pd2
_cell_length_a 3.910
_cell_length_b 3.910
_cell_length_c 11.348
_cell_angle_alpha 90.00
_cell_angle_beta 90.00
_cell_angle_gamma 90.00
_space_group_name_H-M_alt 'I 4/m m m'
_space_group_IT_number 139
_space_group_name_Hall '-I 4 2'
loop_
_atom_site_label
_atom_site_fract_x
_atom_site_fract_y
_atom_site_fract_z
Tl1 0.000 0.000 0.000
Cu1 0.000 0.000 0.396
Pd1 0.000 0.500 0.250

=====

# PBE-GGA Pr6Se3S2, optimized geometry
# M_tot: 3.37 Bohr magnetons per cell
# E: -6.018 eV per atom
# V: 27.95 Å³ per atom
# Mass density: 6.2 Mg/m³
data_Pr6Se3S2
_cell_length_a 4.1624
_cell_length_b 4.1624
_cell_length_c 61.4775
_cell_angle_alpha 90.00
_cell_angle_beta 90.00
_cell_angle_gamma 120.00
_space_group_name_H-M_alt 'R -3 m'
_space_group_IT_number 166
_space_group_name_Hall '-R 3 2"'
loop_
_atom_site_label
_atom_site_fract_x
_atom_site_fract_y
_atom_site_fract_z
Pr1 0.0000 0.0000 0.0890
Pr2 0.0000 0.0000 0.1925
Pr3 0.0000 0.0000 0.3616
Se1 0.0000 0.0000 0.0000
Se2 0.0000 0.0000 0.2748
S1 0.0000 0.0000 0.4483

=====

# PBE-GGA Rb2TbZn2Te4, optimized geometry
# M_tot: 0.00 Bohr magnetons per cell
# E: -3.273 eV per atom
# V: 35.02 Å³ per atom
# Mass density: 5.1 Mg/m³
data_Rb2TbZn2Te4
_cell_length_a 16.450
_cell_length_b 4.754
_cell_length_c 8.522
_cell_angle_alpha 90.00
_cell_angle_beta 108.97
_cell_angle_gamma 90.00
_space_group_name_H-M_alt 'C 1 2/m 1'
_space_group_IT_number 12
loop_
_space_group_symop_operation_xyz
'x,y,z'
'-x,-y,-z'
'-x,y,-z'
'x,-y,z'
'x+1/2,y+1/2,z'
'-x+1/2,-y+1/2,-z'
'-x+1/2,y+1/2,-z'
'x+1/2,-y+1/2,z'
loop_
_atom_site_label
_atom_site_fract_x
_atom_site_fract_y
_atom_site_fract_z
Rb1 0.132 0.000 0.066
Tb1 0.000 0.000 0.500
Zn1 0.173 0.500 0.497
Te1 0.013 0.500 0.264
Te2 0.201 0.000 0.667

=====

# PBE-GGA PuNpRu2, optimized geometry
# M_tot: 7.69 Bohr magnetons per cell
# V: 19.22 Å³ per atom
# Mass density: 14.8 Mg/m³
# Energy of formation from the pure elements: -74 meV per atom
data_PuNpRu2
_cell_length_a 3.392
_cell_length_b 3.392
_cell_length_c 6.683
_cell_angle_alpha 90.00
_cell_angle_beta 90.00
_cell_angle_gamma 90.00
_space_group_name_H-M_alt 'P 4/m m m'
_space_group_IT_number 123
_space_group_name_Hall '-P 4 2'
loop_
_atom_site_label
_atom_site_fract_x
_atom_site_fract_y
_atom_site_fract_z
Pu1 0.000 0.000 0.000
Np1 0.000 0.000 0.500
Ru1 0.500 0.500 0.264